A relaxed ZrV2Pb2 crystal. Source: the Alexandria database, functional PBE-GGA.

The formation energy from the elements comes out at 192 kJ/mol of formula units. For the total energy, the calculation gives -6.442 eV per atom.

Unit cell a=3.8659 b=3.8659 c=13.8478 alpha=90.00 beta=90.00 gamma=90.00
Closest atoms and distances in Å follow each position.
Space group I4/mmm (No. 139)
Inequivalent atoms, fractional coordinates:
Zr1 0.0000 0.0000 0.0000 [2 per cell]  8 Pb 3.11
V1 0.0000 0.5000 0.2500 [4 per cell]  4 V 2.73, 4 Pb 2.76
Pb1 0.0000 0.0000 0.3925 [4 per cell]  4 V 2.76, 1 Pb 2.98


A relaxed KBPb crystal. Source: the Alexandria database, functional PBE-GGA.

The formation energy from the elements comes out at 100 kJ/mol of formula units. For the total energy, the calculation gives -3.483 eV per atom.

Unit cell a=14.2512 b=5.3059 c=5.1629 alpha=90.00 beta=101.58 gamma=90.00
Closest atoms and distances in Å follow each position.
Space group C2/m (No. 12)
Inequivalent atoms, fractional coordinates:
K1 0.1526 0.0000 0.1862 [4 per cell]  2 B 3.06
B1 0.0000 0.1470 0.5000 [4 per cell]  1 B 1.56
Pb1 0.0703 0.5000 0.7759 [4 per cell]  2 B 2.44


A relaxed Nd2Co2Si3 crystal. Source: the Alexandria database, functional PBE-GGA.

For the total energy, the calculation gives -6.299 eV per atom. The value obtained for the energy relative to the elements, uncorrected is -582 meV per atom.

Unit cell a=4.1986 b=17.5948 c=6.6899 alpha=90.00 beta=90.00 gamma=90.00
Closest atoms and distances in Å follow each position.
Space group Cmcm (No. 63)
Inequivalent atoms, fractional coordinates:
Nd1 0.0000 0.0542 0.2500 [4 per cell]  9 Si 2.97-3.19
Nd2 0.0000 0.1605 0.7500 [4 per cell]  6 Co 2.88-2.99, 6 Si 2.94-2.96
Co1 0.0000 0.3067 0.5570 [8 per cell]  4 Si 2.43-2.53, 1 Co 2.58
Si1 0.0000 0.2227 0.2500 [4 per cell]  6 Co 2.52-2.53
Si2 0.0000 0.4363 0.0680 [8 per cell]  2 Si 2.42-2.44, 1 Co 2.43


A relaxed RbZnCoP2 crystal. Source: the Alexandria database, functional PBE-GGA.

The formation energy from the elements comes out at 1089 kJ/mol of formula units. For the total energy, the calculation gives -1.775 eV per atom.

Unit cell a=5.4943 b=5.4943 c=4.8280 alpha=90.00 beta=90.00 gamma=90.00
Closest atoms and distances in Å follow each position.
Space group P4/mmm (No. 123)
Inequivalent atoms, fractional coordinates:
Rb1 0.0000 0.0000 0.0000 [1 per cell]  2 Co 2.41
Zn1 0.5000 0.5000 0.5000 [1 per cell]  8 P 3.66, 4 Co 3.89
Co1 0.0000 0.0000 0.5000 [1 per cell]  2 Rb 2.41
P1 0.0000 0.5000 0.0000 [2 per cell]  2 Rb 2.75